1.
The following is a PBEsol calculation of KHo2Cl7 after structural relaxation, from the Alexandria database.

Cell lengths 6.8017, 12.3251, 12.9037 Å; angles 90.00, 91.42, 90.00 degrees
Element x y z (fractional)
K 0.1991 0.2110 0.4697
K 0.1991 0.2890 0.9697
K 0.8009 0.7110 0.0303
K 0.8009 0.7890 0.5303
Ho 0.2198 0.5357 0.2604
Ho 0.2198 0.9643 0.7604
Ho 0.2803 0.6611 0.7551
Ho 0.2803 0.8389 0.2551
Ho 0.7197 0.1611 0.7449
Ho 0.7197 0.3389 0.2449
Ho 0.7802 0.0357 0.2396
Ho 0.7802 0.4643 0.7396
Cl 0.0048 0.2041 0.1842
Cl 0.0048 0.2959 0.6842
Cl 0.0307 0.5690 0.6202
Cl 0.0307 0.9310 0.1202
Cl 0.0658 0.5283 0.8718
Cl 0.0658 0.9717 0.3718
Cl 0.2557 0.6853 0.1070
Cl 0.2557 0.8147 0.6070
Cl 0.4506 0.0599 0.6250
Cl 0.4506 0.0950 0.8756
Cl 0.4506 0.4050 0.3756
Cl 0.4506 0.4401 0.1250
Cl 0.4818 0.6742 0.3368
Cl 0.4818 0.8258 0.8368
Cl 0.5182 0.1742 0.1632
Cl 0.5182 0.3258 0.6632
Cl 0.5494 0.5599 0.8750
Cl 0.5494 0.5950 0.6244
Cl 0.5494 0.9050 0.1244
Cl 0.5494 0.9401 0.3750
Cl 0.7443 0.1853 0.3930
Cl 0.7443 0.3147 0.8930
Cl 0.9342 0.0283 0.6282
Cl 0.9342 0.4717 0.1282
Cl 0.9693 0.0690 0.8798
Cl 0.9693 0.4310 0.3798
Cl 0.9952 0.7041 0.3158
Cl 0.9952 0.7959 0.8158

Results
Uncorrected formation energy: -2168.8 kJ/mol of formula units
Raw total energy: -4.76 eV/atom
Size of the total moment: 0.000 μB per atom



2.
The following is a PBEsol calculation of HoClO after structural relaxation, from the Alexandria database.

Cell lengths 3.8319, 3.8319, 6.5522 Å; angles 90.00, 90.00, 90.00 degrees
Element x y z (fractional)
Ho 0.2500 0.2500 0.1692
Ho 0.7500 0.7500 0.8308
Cl 0.2500 0.2500 0.6271
Cl 0.7500 0.7500 0.3729
O 0.2500 0.7500 0.0000
O 0.7500 0.2500 0.0000

Results
Uncorrected formation energy: -913.2 kJ/mol of formula units
Raw total energy: -7.22 eV/atom
Size of the total moment: 0.000 μB per atom



3.
The following is a PBEsol calculation of HoSeClO3 after structural relaxation, from the Alexandria database.

Cell lengths 7.1079, 6.8910, 8.7394 Å; angles 90.00, 90.00, 90.00 degrees
Element x y z (fractional)
Ho 0.1019 0.2500 0.0399
Ho 0.3981 0.7500 0.5399
Ho 0.6019 0.2500 0.4601
Ho 0.8981 0.7500 0.9601
Se 0.2033 0.2500 0.6326
Se 0.2967 0.7500 0.1326
Se 0.7033 0.2500 0.8674
Se 0.7967 0.7500 0.3674
Cl 0.0567 0.7500 0.6801
Cl 0.4433 0.2500 0.1801
Cl 0.5567 0.7500 0.8199
Cl 0.9433 0.2500 0.3199
O 0.1436 0.5714 0.0659
O 0.1436 0.9286 0.0659
O 0.2505 0.2500 0.8222
O 0.2495 0.7500 0.3222
O 0.3564 0.0714 0.5659
O 0.3564 0.4286 0.5659
O 0.6436 0.5714 0.4341
O 0.6436 0.9286 0.4341
O 0.7505 0.2500 0.6778
O 0.7495 0.7500 0.1778
O 0.8564 0.0714 0.9341
O 0.8564 0.4286 0.9341

Results
Uncorrected formation energy: -1188.3 kJ/mol of formula units
Raw total energy: -6.48 eV/atom
Size of the total moment: 0.000 μB per atom



4.
The following is a PBEsol calculation of HoTe2ClO5 after structural relaxation, from the Alexandria database.

Cell lengths 7.5197, 7.8392, 10.3153 Å; angles 101.22, 99.48, 92.00 degrees
Element x y z (fractional)
Ho 0.2389 0.4876 0.4525
Ho 0.2545 0.0054 0.5178
Ho 0.7455 0.9946 0.4822
Ho 0.7611 0.5124 0.5475
Te 0.0021 0.9244 0.7637
Te 0.1694 0.3765 0.7599
Te 0.3767 0.7844 0.2361
Te 0.4527 0.7619 0.7598
Te 0.5473 0.2381 0.2402
Te 0.6233 0.2156 0.7639
Te 0.8306 0.6235 0.2401
Te 0.9979 0.0756 0.2363
Cl 0.1686 0.4157 0.1631
Cl 0.3448 0.1123 0.9152
Cl 0.6552 0.8877 0.0848
Cl 0.8314 0.5843 0.8369
O 0.0369 0.0832 0.6441
O 0.0584 0.4556 0.6077
O 0.1644 0.2010 0.3866
O 0.1693 0.9097 0.1629
O 0.2250 0.8056 0.6563
O 0.2838 0.7402 0.3881
O 0.3290 0.5906 0.8394
O 0.3480 0.2782 0.6565
O 0.4690 0.0066 0.3555
O 0.4923 0.6011 0.6083
O 0.5077 0.3989 0.3917
O 0.5310 0.9934 0.6445
O 0.6520 0.7218 0.3435
O 0.6710 0.4094 0.1606
O 0.7162 0.2598 0.6119
O 0.7750 0.1944 0.3437
O 0.8307 0.0903 0.8371
O 0.8356 0.7990 0.6134
O 0.9416 0.5444 0.3923
O 0.9631 0.9168 0.3559

Results
Uncorrected formation energy: -1585.3 kJ/mol of formula units
Raw total energy: -6.30 eV/atom
Size of the total moment: 0.000 μB per atom



5.
The following is a PBEsol calculation of HoTeClO3 after structural relaxation, from the Alexandria database.

Cell lengths 7.1544, 6.9099, 9.0297 Å; angles 90.00, 90.00, 90.00 degrees
Element x y z (fractional)
Ho 0.0916 0.2500 0.0365
Ho 0.4084 0.7500 0.5365
Ho 0.5916 0.2500 0.4635
Ho 0.9084 0.7500 0.9635
Te 0.1737 0.2500 0.6302
Te 0.3263 0.7500 0.1302
Te 0.6737 0.2500 0.8698
Te 0.8263 0.7500 0.3698
Cl 0.0616 0.7500 0.6829
Cl 0.4384 0.2500 0.1829
Cl 0.5616 0.7500 0.8171
Cl 0.9384 0.2500 0.3171
O 0.1488 0.5653 0.0624
O 0.1488 0.9347 0.0624
O 0.2425 0.2500 0.8295
O 0.2575 0.7500 0.3295
O 0.3512 0.0653 0.5624
O 0.3512 0.4347 0.5624
O 0.6488 0.5653 0.4376
O 0.6488 0.9347 0.4376
O 0.7425 0.2500 0.6705
O 0.7575 0.7500 0.1705
O 0.8512 0.0653 0.9376
O 0.8512 0.4347 0.9376

Results
Uncorrected formation energy: -1247.7 kJ/mol of formula units
Raw total energy: -6.53 eV/atom
Size of the total moment: 0.000 μB per atom



6.
The following is a PBEsol calculation of HoTiClO3 after structural relaxation, from the Alexandria database.

Cell lengths 5.2407, 5.2407, 9.6475 Å; angles 105.42, 105.42, 43.24 degrees
Element x y z (fractional)
Ho 0.2225 0.2225 0.2029
Ho 0.7775 0.7775 0.7971
Ti 0.3813 0.3813 0.5712
Ti 0.6187 0.6187 0.4288
Cl 0.1134 0.1134 0.9042
Cl 0.8866 0.8866 0.0958
O 0.1688 0.1688 0.4333
O 0.3512 0.3512 0.7534
O 0.4217 0.4217 0.3738
O 0.5783 0.5783 0.6262
O 0.6488 0.6488 0.2466
O 0.8312 0.8312 0.5667

Results
Uncorrected formation energy: -1812.5 kJ/mol of formula units
Raw total energy: -8.30 eV/atom
Size of the total moment: 0.000 μB per atom



7.
The following is a PBEsol calculation of RbHo2Cl7 after structural relaxation, from the Alexandria database.

Cell lengths 13.0668, 6.8279, 12.4107 Å; angles 90.00, 90.00, 90.00 degrees
Element x y z (fractional)
Rb 0.0408 0.2500 0.1956
Rb 0.4592 0.7500 0.6956
Rb 0.5408 0.2500 0.3044
Rb 0.9592 0.7500 0.8044
Ho 0.2383 0.2500 0.5400
Ho 0.2474 0.2500 0.8429
Ho 0.2526 0.7500 0.3429
Ho 0.2617 0.7500 0.0400
Ho 0.7383 0.2500 0.9600
Ho 0.7474 0.2500 0.6571
Ho 0.7526 0.7500 0.1571
Ho 0.7617 0.7500 0.4600
Cl 0.1080 0.7500 0.1889
Cl 0.1223 0.0102 0.4222
Cl 0.1223 0.4898 0.4222
Cl 0.1300 0.0100 0.9606
Cl 0.1300 0.4900 0.9606
Cl 0.1748 0.0059 0.6929
Cl 0.1748 0.4941 0.6929
Cl 0.3252 0.5059 0.1929
Cl 0.3252 0.9941 0.1929
Cl 0.3700 0.5100 0.4606
Cl 0.3700 0.9900 0.4606
Cl 0.3777 0.5102 0.9222
Cl 0.3777 0.9898 0.9222
Cl 0.3920 0.2500 0.6889
Cl 0.6080 0.7500 0.3111
Cl 0.6223 0.0102 0.0778
Cl 0.6223 0.4898 0.0778
Cl 0.6300 0.0100 0.5394
Cl 0.6300 0.4900 0.5394
Cl 0.6748 0.0059 0.8071
Cl 0.6748 0.4941 0.8071
Cl 0.8252 0.5059 0.3071
Cl 0.8252 0.9941 0.3071
Cl 0.8700 0.5100 0.0394
Cl 0.8700 0.9900 0.0394
Cl 0.8777 0.5102 0.5778
Cl 0.8777 0.9898 0.5778
Cl 0.8920 0.2500 0.8111

Results
Uncorrected formation energy: -2182.1 kJ/mol of formula units
Raw total energy: -4.76 eV/atom
Size of the total moment: 0.000 μB per atom



8.
The following is a PBEsol calculation of ICl after structural relaxation, from the Alexandria database.

Cell lengths 12.3816, 4.2867, 11.6733 Å; angles 90.00, 114.20, 90.00 degrees
Element x y z (fractional)
I 0.1820 0.1390 0.1105
I 0.1820 0.3610 0.6105
I 0.2858 0.5817 0.8643
I 0.2858 0.9183 0.3643
I 0.7143 0.0817 0.6357
I 0.7143 0.4183 0.1357
I 0.8180 0.6390 0.3895
I 0.8180 0.8610 0.8895
Cl 0.0919 0.1574 0.3837
Cl 0.0919 0.3426 0.8837
Cl 0.4565 0.7092 0.3440
Cl 0.4565 0.7908 0.8440
Cl 0.5435 0.2092 0.1560
Cl 0.5435 0.2908 0.6560
Cl 0.9081 0.6574 0.1163
Cl 0.9081 0.8426 0.6163

Results
Uncorrected formation energy: -26.6 kJ/mol of formula units
Raw total energy: -2.03 eV/atom
Size of the total moment: 0.000 μB per atom



9.
The following is a PBEsol calculation of ICl3 after structural relaxation, from the Alexandria database.

Cell lengths 5.4742, 5.8633, 8.3737 Å; angles 72.47, 78.60, 82.12 degrees
Element x y z (fractional)
I 0.1807 0.0007 0.1835
I 0.8193 0.9993 0.8165
Cl 0.1291 0.2796 0.8674
Cl 0.2097 0.7323 0.4566
Cl 0.4566 0.2706 0.2014
Cl 0.5434 0.7294 0.7986
Cl 0.7903 0.2677 0.5434
Cl 0.8709 0.7204 0.1326

Results
Uncorrected formation energy: -77.1 kJ/mol of formula units
Raw total energy: -2.15 eV/atom
Size of the total moment: 0.000 μB per atom



10.
The following is a PBEsol calculation of InICl3 after structural relaxation, from the Alexandria database.

Cell lengths 5.1151, 5.1151, 5.1151 Å; angles 90.00, 90.00, 90.00 degrees
Element x y z (fractional)
In 0.0000 0.0000 0.0000
I 0.5000 0.5000 0.5000
Cl 0.0000 0.0000 0.5000
Cl 0.0000 0.5000 0.0000
Cl 0.5000 0.0000 0.0000

Results
Uncorrected formation energy: -216.0 kJ/mol of formula units
Raw total energy: -2.60 eV/atom
Size of the total moment: 0.258 μB per atom



11.
The following is a PBEsol calculation of In2ICl2 after structural relaxation, from the Alexandria database.

Cell lengths 7.0167, 7.0167, 7.0167 Å; angles 141.24, 141.24, 55.98 degrees
Element x y z (fractional)
In 0.1191 0.1191 0.0000
In 0.8809 0.8809 0.0000
I 0.5000 0.5000 0.0000
Cl 0.2500 0.7500 0.5000
Cl 0.7500 0.2500 0.5000

Results
Uncorrected formation energy: -290.4 kJ/mol of formula units
Raw total energy: -2.95 eV/atom
Size of the total moment: 0.000 μB per atom



12.
The following is a PBEsol calculation of InIN2Cl after structural relaxation, from the Alexandria database.

Cell lengths 4.2957, 4.2957, 7.0039 Å; angles 90.00, 90.00, 90.00 degrees
Element x y z (fractional)
In 0.0000 0.0000 0.0000
I 0.5000 0.5000 0.0000
N 0.0000 0.5000 0.5000
N 0.5000 0.0000 0.5000
Cl 0.5000 0.5000 0.5000

Results
Uncorrected formation energy: 896.2 kJ/mol of formula units
Raw total energy: -2.90 eV/atom
Size of the total moment: 0.707 μB per atom



13.
The following is a PBEsol calculation of InSbI2Cl after structural relaxation, from the Alexandria database.

Cell lengths 5.6413, 5.6413, 5.7919 Å; angles 90.00, 90.00, 90.00 degrees
Element x y z (fractional)
In 0.0000 0.0000 0.0000
Sb 0.0000 0.0000 0.5000
I 0.0000 0.5000 0.0000
I 0.5000 0.0000 0.0000
Cl 0.5000 0.5000 0.5000

Results
Uncorrected formation energy: 127.2 kJ/mol of formula units
Raw total energy: -2.35 eV/atom
Size of the total moment: 0.111 μB per atom



14.
The following is a PBEsol calculation of IrICl2 after structural relaxation, from the Alexandria database.

Cell lengths 4.7985, 4.7985, 4.7985 Å; angles 60.00, 60.00, 60.00 degrees
Element x y z (fractional)
Ir 0.0000 0.0000 0.0000
I 0.5000 0.5000 0.5000
Cl 0.2500 0.2500 0.2500
Cl 0.7500 0.7500 0.7500

Results
Uncorrected formation energy: 480.4 kJ/mol of formula units
Raw total energy: -2.66 eV/atom
Size of the total moment: 0.002 μB per atom



15.
The following is a PBEsol calculation of P2IrICl after structural relaxation, from the Alexandria database.

Cell lengths 4.6080, 4.6080, 4.8653 Å; angles 90.00, 90.00, 90.00 degrees
Element x y z (fractional)
P 0.0000 0.5000 0.0000
P 0.5000 0.0000 0.0000
Ir 0.0000 0.0000 0.0000
I 0.5000 0.5000 0.5000
Cl 0.0000 0.0000 0.5000

Results
Uncorrected formation energy: 171.3 kJ/mol of formula units
Raw total energy: -4.68 eV/atom
Size of the total moment: 0.000 μB per atom



16.
The following is a PBEsol calculation of IrS2ICl after structural relaxation, from the Alexandria database.

Cell lengths 5.0778, 5.0778, 4.9812 Å; angles 90.00, 90.00, 90.00 degrees
Element x y z (fractional)
Ir 0.0000 0.0000 0.0000
S 0.0000 0.5000 0.5000
S 0.5000 0.0000 0.5000
I 0.5000 0.5000 0.5000
Cl 0.5000 0.5000 0.0000

Results
Uncorrected formation energy: 862.3 kJ/mol of formula units
Raw total energy: -2.69 eV/atom
Size of the total moment: 0.537 μB per atom



17.
The following is a PBEsol calculation of KICl4 after structural relaxation, from the Alexandria database.

Cell lengths 9.1579, 11.2025, 8.9441 Å; angles 90.00, 114.61, 90.00 degrees
Element x y z (fractional)
K 0.1657 0.1182 0.1761
K 0.1657 0.3818 0.6761
K 0.8343 0.6182 0.3239
K 0.8343 0.8818 0.8239
I 0.2544 0.5024 0.2764
I 0.2544 0.9976 0.7764
I 0.7456 0.0024 0.2236
I 0.7456 0.4976 0.7236
Cl 0.0278 0.1313 0.7773
Cl 0.0278 0.3687 0.2773
Cl 0.2201 0.6197 0.4971
Cl 0.2201 0.8803 0.9971
Cl 0.2755 0.1329 0.5607
Cl 0.2755 0.3671 0.0607
Cl 0.4662 0.6397 0.2831
Cl 0.4662 0.8603 0.7831
Cl 0.5338 0.1397 0.2169
Cl 0.5338 0.3603 0.7169
Cl 0.7245 0.6329 0.9393
Cl 0.7245 0.8671 0.4393
Cl 0.7799 0.1197 0.0029
Cl 0.7799 0.3803 0.5029
Cl 0.9722 0.6313 0.7227
Cl 0.9722 0.8687 0.2227

Results
Uncorrected formation energy: -470.7 kJ/mol of formula units
Raw total energy: -2.64 eV/atom
Size of the total moment: 0.000 μB per atom